[1]
The following is a PBE calculation of crystalline La2PmErTh at its relaxed geometry, from Alexandria via LeMat-Bulk.

Space group = P2/c
Total moment = 0.000 μB per atom
Energy relative to the elements = 0.31 eV per atom
N(E_F) = 7.36 states/eV/f.u.

The structure in POSCAR format:
```
La2PmErTh
1.0
6.367 0.000 0.000
0.000 9.216 0.025
0.000 -2.309 6.142
La Pm Er Th
4 2 2 2
Direct
0.693 0.685 0.842
0.693 0.315 0.658
0.307 0.685 0.342
0.307 0.315 0.158
0.164 0.500 0.750
0.836 0.500 0.250
0.501 0.000 0.250
0.499 0.000 0.750
0.000 0.000 0.000
0.000 0.000 0.500
```



[2]
The following is a PBE calculation of crystalline La4Pm2ErTh at its relaxed geometry, from Alexandria via LeMat-Bulk.

Space group = Pmmm
Total moment = 0.000 μB per atom
Energy relative to the elements = 0.12 eV per atom
N(E_F) = 14.89 states/eV/f.u.

The structure in POSCAR format:
```
La4Pm2ErTh
1.0
-5.098 3.348 -0.617
-5.148 -7.113 3.940
-1.377 -1.014 5.875
La Pm Er Th
4 2 1 1
Direct
0.000 0.734 0.766
0.000 0.266 0.234
0.500 0.733 0.267
0.500 0.267 0.733
0.000 0.000 0.000
0.500 0.000 0.500
0.000 0.500 0.500
0.500 0.500 0.000
```



[3]
The following is a PBE calculation of crystalline LaPm2ErTh at its relaxed geometry, from Alexandria via LeMat-Bulk.

Space group = P2/c
Total moment = 0.000 μB per atom
Energy relative to the elements = 0.30 eV per atom
N(E_F) = 6.94 states/eV/f.u.

The structure in POSCAR format:
```
LaPm2ErTh
1.0
-1.113 -5.867 -2.441
4.772 -3.538 6.329
-5.720 -0.131 2.923
La Pm Er Th
2 4 2 2
Direct
0.000 0.000 0.000
0.000 0.000 0.500
0.686 0.684 0.798
0.686 0.316 0.702
0.314 0.684 0.298
0.314 0.316 0.202
0.170 0.500 0.750
0.830 0.500 0.250
0.546 0.000 0.250
0.454 0.000 0.750
```



[4]
The following is a PBE calculation of crystalline LaPmErTh2 at its relaxed geometry, from Alexandria via LeMat-Bulk.

Space group = Cmcm
Total moment = 0.000 μB per atom
Energy relative to the elements = 0.35 eV per atom
N(E_F) = 7.99 states/eV/f.u.

The structure in POSCAR format:
```
LaPmErTh2
1.0
-1.092 -3.511 5.658
6.630 -1.005 0.657
-2.730 7.128 3.896
La Pm Er Th
2 2 2 4
Direct
0.750 0.745 0.490
0.250 0.255 0.510
0.250 0.849 0.698
0.750 0.151 0.302
0.250 0.650 0.300
0.750 0.350 0.700
0.500 0.252 0.000
0.000 0.748 0.000
0.500 0.748 0.000
0.000 0.252 0.000
```



[5]
The following is a PBE calculation of crystalline LaPm2ErTl4 at its relaxed geometry, from Alexandria via LeMat-Bulk.

Space group = R-3m
Total moment = 0.000 μB per atom
Energy relative to the elements = -0.37 eV per atom
N(E_F) = 7.59 states/eV/f.u.

The structure in POSCAR format:
```
LaPm2ErTl4
1.0
5.483 0.000 0.000
2.742 4.748 0.000
2.742 1.583 9.011
La Pm Er Tl
1 2 1 4
Direct
0.000 0.000 0.000
0.751 0.751 0.746
0.249 0.249 0.254
0.500 0.500 0.500
0.378 0.378 0.867
0.873 0.873 0.381
0.127 0.127 0.619
0.622 0.622 0.133
```



[6]
The following is a PBE calculation of crystalline LaPmErTm3 at its relaxed geometry, from Alexandria via LeMat-Bulk.

Space group = Cmcm
Total moment = 0.000 μB per atom
Energy relative to the elements = 0.11 eV per atom
N(E_F) = 11.60 states/eV/f.u.

The structure in POSCAR format:
```
LaPmErTm3
1.0
-2.285 4.425 -2.961
-4.159 -4.387 2.323
-0.935 6.087 9.821
La Pm Er Tm
2 2 2 6
Direct
0.502 0.004 0.750
0.498 0.996 0.250
0.000 0.000 0.500
0.000 0.000 0.000
0.826 0.651 0.750
0.174 0.349 0.250
0.676 0.352 0.498
0.324 0.648 0.502
0.324 0.648 0.998
0.676 0.352 0.002
0.172 0.344 0.750
0.828 0.656 0.250
```



[7]
The following is a PBE calculation of crystalline LaPmEr2Tm at its relaxed geometry, from Alexandria via LeMat-Bulk.

Space group = Cmcm
Total moment = 0.003 μB per atom
Energy relative to the elements = 0.36 eV per atom
N(E_F) = 8.26 states/eV/f.u.

The structure in POSCAR format:
```
LaPmEr2Tm
1.0
-1.752 5.237 -4.640
-5.322 -5.238 -3.902
-1.568 4.307 5.453
La Pm Er Tm
2 2 4 2
Direct
0.750 0.735 0.470
0.250 0.265 0.530
0.250 0.999 0.998
0.750 0.001 0.002
0.500 0.313 0.000
0.000 0.687 0.000
0.500 0.687 0.000
0.000 0.313 0.000
0.250 0.716 0.431
0.750 0.284 0.569
```



[8]
The following is a PBE calculation of crystalline La2PmEr5Tm at its relaxed geometry, from Alexandria via LeMat-Bulk.

Space group = I4/mcm
Total moment = 0.000 μB per atom
Energy relative to the elements = 0.26 eV per atom
N(E_F) = 12.20 states/eV/f.u.

The structure in POSCAR format:
```
La2PmEr5Tm
1.0
8.641 0.000 0.000
0.000 8.641 0.000
-4.320 -4.320 7.854
La Pm Er Tm
4 2 10 2
Direct
0.117 0.383 0.000
0.617 0.117 0.000
0.383 0.883 0.000
0.883 0.617 0.000
0.250 0.250 0.500
0.750 0.750 0.500
0.926 0.426 0.283
0.642 0.142 0.717
0.074 0.574 0.717
0.142 0.074 0.717
0.574 0.642 0.717
0.858 0.926 0.283
0.426 0.358 0.283
0.358 0.858 0.283
0.500 0.500 0.000
0.000 0.000 0.000
0.250 0.750 0.500
0.750 0.250 0.500
```



Q: Look up the energy relative to the elements of the eighth one.
A: 0.26 eV per atom